Entry from Alexandria via LeMat-Bulk: a relaxed LiIn2ReS crystal (GGA-PBE).

Total DFT energy (no corrections) = -4.1059 eV/atom
Density = 5.9 Mg/m³
Formation energy (no corrections) = 0.69 eV per atom

a b c (Å): 5.439 5.439 4.327
angles (deg): 90.00 90.00 90.00
Fractional positions:
1 Li 0.000 0.000 0.000
2 In 0.000 0.500 0.500
3 In 0.500 0.000 0.500
4 Re 0.500 0.500 0.000
5 S 0.500 0.500 0.500